Record 1
Pm2Er2In7, relaxed, DFT PBE; space-group type = Cmmm; calculated volume = 32.238 A^3/atom; DFT formation energy = 0.019 eV/atom; spin magnetization = 0.0 μB per cell
1.0
-5.2015 1.5036 -5.4260
-1.4176 -5.8957 -0.2747
-4.7525 0.8654 5.9516
In Er Pm
7 2 2
direct
0.5003 0.7378 0.9998
0.5002 0.7375 0.4998
0.0000 0.0000 0.0000
0.9998 0.2622 0.5003
0.4997 0.2622 0.0002
0.0002 0.7378 0.4997
0.4998 0.2625 0.5002
0.2678 0.0000 0.7322
0.7322 0.0000 0.2678
0.8027 0.5000 0.8027
0.1973 0.5000 0.1973

Record 2
Pm5Er6In, relaxed, DFT PBE; space-group type = Immm; calculated volume = 31.211 A^3/atom; DFT formation energy = -0.049 eV/atom; spin magnetization = 0.0 μB per cell
1.0
-1.2438 4.7255 -0.9797
-3.0260 -4.9455 -7.3447
-5.3125 -2.5150 7.2809
Er Pm In
6 5 1
direct
0.7434 0.2433 0.2433
0.2456 0.0807 0.4104
0.7544 0.5896 0.9193
0.2566 0.7567 0.7567
0.7544 0.9193 0.5896
0.2456 0.4104 0.0807
0.0000 0.3371 0.6629
0.5000 0.1672 0.8328
0.5000 0.5000 0.5000
0.0000 0.6629 0.3371
0.5000 0.8328 0.1672
0.0000 0.0000 0.0000

Record 3
Pm3Er4In2, relaxed, DFT PBE; space-group type = C2/m; calculated volume = 29.996 A^3/atom; DFT formation energy = -0.166 eV/atom; spin magnetization = 0.0 μB per cell
1.0
4.9479 0.0000 0.0000
0.0000 7.5956 0.6007
-2.4740 -3.0017 6.9460
Er Pm In
4 3 2
direct
0.7791 0.6838 0.5583
0.2209 0.3162 0.4417
0.4416 0.6695 0.8833
0.5584 0.3305 0.1167
0.0000 0.0000 0.0000
0.1148 0.6740 0.2296
0.8852 0.3260 0.7704
0.3401 0.9998 0.6802
0.6599 0.0002 0.3198

Record 4
PmErIn, relaxed, DFT PBE; space-group type = P6_3/mmc; calculated volume = 28.930 A^3/atom; DFT formation energy = -0.344 eV/atom; spin magnetization = 0.0 μB per cell
1.0
5.4426 -0.0010 0.0000
-2.7211 4.7135 0.0000
0.0000 0.0000 6.7670
In Pm Er
2 2 2
direct
0.3334 0.1666 0.2500
0.6666 0.8334 0.7500
0.0000 0.5000 0.0000
0.0000 0.5000 0.5000
0.3333 0.1667 0.7500
0.6667 0.8333 0.2500